(1)
This record from the Alexandria database describes a geometry-optimized LiYTiRh structure. The functional is GGA-PBE.

Its calculated total energy is -6.1828 eV/atom. The energy relative to the elements is -0.277 eV per atom. The volume comes out at 18.20 A^3/atom.

The space group is F-43m (No. 216) and the conventional cell measures 6.628, 6.628 and 6.628 Å, with angles of 90.00, 90.00 and 90.00 degrees. The inequivalent atoms are Li at (0.000, 0.000, 0.000), Y at (0.250, 0.250, 0.750), Ti at (0.250, 0.250, 0.250) and Rh at (0.000, 0.000, 0.500).


(2)
This record from the Alexandria database describes a geometry-optimized Nb3TlNi structure. The functional is GGA-PBE.

Its calculated total energy is -5.2447 eV/atom. The energy relative to the lowest polymorph listed for this composition comes out at 1728.0 meV per atom. The energy relative to the elements is 2.427 eV per atom. The volume comes out at 26.20 A^3/atom.

The space group is Pm-3m (No. 221) and the conventional cell measures 5.079, 5.079 and 5.079 Å, with angles of 90.00, 90.00 and 90.00 degrees. The inequivalent atoms are Nb at (0.000, 0.000, 0.500), Tl at (0.000, 0.000, 0.000) and Ni at (0.500, 0.500, 0.500).


(3)
This record from the Alexandria database describes a geometry-optimized CaPm3C8 structure. The functional is GGA-PBE.

Its calculated total energy is -7.3793 eV/atom. The energy relative to the elements is 0.124 eV per atom. The volume comes out at 16.79 A^3/atom.

The space group is Fmm2 (No. 42) and the conventional cell measures 10.080, 10.132 and 7.890 Å, with angles of 90.00, 90.00 and 90.00 degrees. The inequivalent atoms are Ca at (0.000, 0.000, 0.000), Pm at (0.000, 0.000, 0.501), Pm at (0.250, 0.250, 0.247), C at (0.000, 0.166, 0.765), C at (0.000, 0.240, 0.374), C at (0.166, 0.000, 0.237) and C at (0.240, 0.000, 0.629).


(4)
This record from the Alexandria database describes a geometry-optimized Sm5YTe8 structure. The functional is GGA-PBE.

Its calculated total energy is -5.3187 eV/atom. The formation energy without anion corrections comes out at -1376 meV per atom. The volume comes out at 30.64 A^3/atom.

The space group is I-4 (No. 82) and the conventional cell measures 9.635, 9.635 and 9.241 Å, with angles of 90.00, 90.00 and 90.00 degrees. The inequivalent atoms are Sm at (0.000, 0.000, 0.000), Sm at (0.158, 0.252, 0.625), Y at (0.000, 0.500, 0.250), Te at (0.065, 0.180, 0.306) and Te at (0.068, 0.324, 0.944).


no.,magnetization (μB per formula unit)
1,0.64
2,0.00
3,0.00
4,0.00